This record from Alexandria describes an optimized crystal structure of AlCoTe3. The functional is PBE.

Calculated values
Its electronic total energy is -18.13 eV for the cell shown. The space group is Pm-3m. The calculation puts the energy above the most stable polymorph in this dataset at 0 meV per atom. The crystal system is cubic. As for the formation energy (no corrections): 207 kJ/mol of formula units.

Unit cell a=5.080 b=5.080 c=5.080 alpha=90.00 beta=90.00 gamma=90.00
Site moments in Bohr magnetons follow the coordinates.
Sites, in units of the cell vectors:
Co 0.000 0.000 0.000  0.74
Te 0.000 0.000 0.500  0.05
Te 0.000 0.500 0.000  0.10
Te 0.500 0.000 0.000  0.10
Al 0.500 0.500 0.500  0.03